<P>
# CaRe3I

CaRe3I after structural relaxation (PBE-GGA, the Alexandria database).

a b c (Å): 4.777 4.777 4.777
angles (deg): 90.00 90.00 90.00
Site moments in Bohr magnetons follow the coordinates.
Fractional positions:
Re 0.000 0.000 0.500  0.46
Re 0.500 0.000 0.000  0.60
Re 0.000 0.500 0.000  0.61
I 0.500 0.500 0.500  -0.05
Ca 0.000 0.000 0.000  0.01

Output
space-group type	Pm-3m (221)

***

<Q>
# CaRe3I

CaRe3I after structural relaxation (PBE-GGA, the Alexandria database).

a b c (Å): 4.891 4.891 4.891
angles (deg): 90.00 90.00 90.00
Site moments in Bohr magnetons follow the coordinates.
Fractional positions:
Re 0.500 0.000 0.000  0.53
Re 0.000 0.000 0.500  0.62
Re 0.000 0.500 0.000  0.63
I 0.000 0.000 0.000  -0.03
Ca 0.500 0.500 0.500  0.02

Output
space-group type	Pm-3m (221)

***

The least stable of them is <P>.

***

<P>
# CaReSb2I

CaReSb2I after structural relaxation (PBE-GGA, the Alexandria database).

a b c (Å): 5.859 5.859 5.732
angles (deg): 90.00 90.00 90.00
Site moments in Bohr magnetons follow the coordinates.
Fractional positions:
Re 0.500 0.500 0.500  4.05
Ca 0.000 0.000 0.000  0.01
I 0.000 0.000 0.500  -0.07
Sb 0.500 0.000 0.000  -0.21
Sb 0.000 0.500 0.000  -0.21

Output
space-group type	P4/mmm (123)

***

<Q>
# CaReSb2I

CaReSb2I after structural relaxation (PBE-GGA, the Alexandria database).

a b c (Å): 5.130 5.130 5.980
angles (deg): 90.00 90.00 90.00
Fractional positions:
I 0.000 0.000 0.500
Sb 0.000 0.500 0.000
Sb 0.500 0.000 0.000
Re 0.000 0.000 0.000
Ca 0.500 0.500 0.500

Output
space-group type	P4/mmm (123)

***

The least stable of them is <P>.

***

<P>
# CaReSbI2

CaReSbI2 after structural relaxation (PBE-GGA, the Alexandria database).

a b c (Å): 5.645 5.645 5.114
angles (deg): 90.00 90.00 90.00
Site moments in Bohr magnetons follow the coordinates.
Fractional positions:
Ca 0.500 0.500 0.500  0.00
Sb 0.000 0.000 0.500  -0.01
I 0.000 0.500 0.000  0.01
I 0.500 0.000 0.000  0.01
Re 0.000 0.000 0.000  0.42

Output
space-group type	P4/mmm (123)

***

<Q>
# CaReSbI2

CaReSbI2 after structural relaxation (PBE-GGA, the Alexandria database).

a b c (Å): 5.852 5.852 6.353
angles (deg): 90.00 90.00 90.00
Site moments in Bohr magnetons follow the coordinates.
Fractional positions:
Ca 0.000 0.000 0.000  0.00
I 0.500 0.000 0.000  -0.02
I 0.000 0.500 0.000  -0.02
Re 0.500 0.500 0.500  4.24
Sb 0.000 0.000 0.500  -0.45

Output
space-group type	P4/mmm (123)

***

The least stable of them is <Q>.

***

<P>
# CaRhI2

CaRhI2 after structural relaxation (PBE-GGA, the Alexandria database).

a b c (Å): 5.833 5.833 8.937
angles (deg): 70.95 70.95 90.00
Site moments in Bohr magnetons follow the coordinates.
Fractional positions:
I 0.875 0.925 0.750  0.06
I 0.675 0.125 0.250  0.05
I 0.075 0.625 0.250  0.05
I 0.375 0.325 0.750  0.04
Rh 0.750 0.250 0.500  0.71
Rh 0.000 0.000 0.000  0.72
Ca 0.500 0.500 0.000  0.01
Ca 0.250 0.750 0.500  0.01

Output
space-group type	I-42d (122)

***

<Q>
# CaRhI2

CaRhI2 after structural relaxation (PBE-GGA, the Alexandria database).

a b c (Å): 4.172 4.172 9.404
angles (deg): 77.19 77.19 60.00
Site moments in Bohr magnetons follow the coordinates.
Fractional positions:
I 0.887 0.887 0.338  0.12
I 0.113 0.113 0.662  0.12
Rh 0.500 0.500 0.500  1.06
Ca 0.000 0.000 0.000  -0.01

Output
space-group type	R-3m (166)

***

The least stable of them is <Q>.

***

<P>
# CaRh3I

CaRh3I after structural relaxation (PBE-GGA, the Alexandria database).

a b c (Å): 4.882 4.882 4.882
angles (deg): 90.00 90.00 90.00
Fractional positions:
I 0.000 0.000 0.000
Rh 0.000 0.500 0.000
Rh 0.500 0.000 0.000
Rh 0.000 0.000 0.500
Ca 0.500 0.500 0.500

Output
space-group type	Pm-3m (221)

***

<Q>
# CaRh3I

CaRh3I after structural relaxation (PBE-GGA, the Alexandria database).

a b c (Å): 4.901 4.901 4.901
angles (deg): 90.00 90.00 90.00
Site moments in Bohr magnetons follow the coordinates.
Fractional positions:
Rh 0.000 0.500 0.000  0.92
Rh 0.500 0.000 0.000  0.61
Rh 0.000 0.000 0.500  0.69
Ca 0.000 0.000 0.000  -0.05
I 0.500 0.500 0.500  0.11

Output
space-group type	Pm-3m (221)

***

The least stable of them is <Q>.

***

<P>
# CaSb2RhI

CaSb2RhI after structural relaxation (PBE-GGA, the Alexandria database).

a b c (Å): 5.144 5.144 5.772
angles (deg): 90.00 90.00 90.00
Site moments in Bohr magnetons follow the coordinates.
Fractional positions:
Sb 0.500 0.000 0.000  0.04
Sb 0.000 0.500 0.000  0.04
Ca 0.500 0.500 0.500  0.01
Rh 0.000 0.000 0.000  0.10
I 0.000 0.000 0.500  0.01

Output
space-group type	P4/mmm (123)

***

<Q>
# CaSb2RhI

CaSb2RhI after structural relaxation (PBE-GGA, the Alexandria database).

a b c (Å): 5.773 5.773 5.749
angles (deg): 90.00 90.00 90.00
Site moments in Bohr magnetons follow the coordinates.
Fractional positions:
Sb 0.000 0.500 0.000  -0.04
Sb 0.500 0.000 0.000  -0.04
Rh 0.500 0.500 0.500  1.26
Ca 0.000 0.000 0.000  0.00
I 0.000 0.000 0.500  0.01

Output
space-group type	P4/mmm (123)

***

The least stable of them is <Q>.